The following is a DFT calculation (GGA-PBE) of crystalline Pr4Ga3Cu at its relaxed geometry.

a = 4.2809 Å, b = 4.4939 Å, c = 10.9366 Å
α = 90.00°, β = 90.00°, γ = 90.00°
Space group Pmm2 (No. 25)
Inequivalent atoms, fractional coordinates:
Pr  0.0000  0.0000  0.0000 x1
Pr  0.0000  0.5000  0.4817 x1
Pr  0.5000  0.0000  0.7019 x1
Pr  0.5000  0.5000  0.2065 x1
Ga  0.0000  0.5000  0.7757 x1
Ga  0.5000  0.0000  0.4089 x1
Ga  0.5000  0.5000  0.9202 x1
Cu  0.0000  0.0000  0.2862 x1

## Properties
Electronic total energy   -4.484 eV/atom
M_tot   0.00 μB per formula unit

The following is a DFT calculation (GGA-PBE) of crystalline AcPrRhAu at its relaxed geometry.

a = 4.7588 Å, b = 4.0962 Å, c = 11.0187 Å
α = 90.00°, β = 90.00°, γ = 90.00°
Space group Amm2 (No. 38)
Inequivalent atoms, fractional coordinates:
Ac  0.0000  0.0000  0.0000 x2
Pr  0.5000  0.0000  0.7214 x2
Rh  0.0000  0.0000  0.2625 x2
Au  0.5000  0.0000  0.4361 x2

## Properties
Electronic total energy   -5.605 eV/atom
ΔE to the lowest computed polymorph   0.000 eV/f.u.
M_tot   0.00 μB per formula unit

- What is the formula in the second record?
  AcPrRhAu